First-principles (PBE) data for a relaxed structure of DyZn2Cd, as listed in Alexandria.

Summary:
V   84.11 Å³/f.u.
Density   8010 kg/m3
Total DFT energy (no corrections)   -8.87 eV/cell
Formation energy from the elements   -0.202 eV per atom
Spin magnetization   0.00 μB per atom
Crystal system   tetragonal

Cell lengths 4.469, 4.469, 4.211 Å; angles 90.00, 90.00, 90.00 degrees
Space group P4/mmm (No. 123)
Asymmetric unit:
Dy: 0.000 0.000 0.000 (multiplicity 1)
Zn: 0.000 0.500 0.500 (multiplicity 2)
Cd: 0.500 0.500 0.000 (multiplicity 1)